1.
This record from Alexandria describes Ac2YReO8 after structural relaxation. The functional is PBE.

Unit cell a=5.3435 b=5.3529 c=7.0962 alpha=90.03 beta=90.04 gamma=91.47
Fractional coordinates of all 12 atoms:
Ac 0.0025 0.0022 0.2552
Ac 0.9975 0.9978 0.7448
Y 0.5000 0.5000 0.0000
Re 0.5000 0.5000 0.5000
O 0.2054 0.2059 0.9985
O 0.2478 0.2491 0.5024
O 0.3299 0.6673 0.2981
O 0.3329 0.6706 0.7016
O 0.6671 0.3294 0.2984
O 0.6701 0.3327 0.7019
O 0.7522 0.7509 0.4976
O 0.7946 0.7941 0.0015

Summary:
The space-group type is No. 2. Its raw formation energy is -2.658 eV/atom. For the volume, the calculation gives 202.9 Å³/cell. The total magnetic moment comes out at 0.00 μB/f.u.

***

2.
This record from Alexandria describes AcYReO6 after structural relaxation. The functional is PBE.

Unit cell a=5.5788 b=5.5788 c=5.2706 alpha=90.00 beta=90.00 gamma=120.00
Fractional coordinates of all 9 atoms:
Ac 0.0000 0.0000 0.0000
Y 0.6667 0.3333 0.5000
Re 0.3333 0.6667 0.5000
O 0.0419 0.3836 0.2896
O 0.0419 0.6583 0.7104
O 0.3417 0.3836 0.7104
O 0.3417 0.9581 0.2896
O 0.6164 0.6583 0.2896
O 0.6164 0.9581 0.7104

Summary:
The space-group type is No. 149. Its raw formation energy is -2.624 eV/atom. For the volume, the calculation gives 142.1 Å³/cell. The total magnetic moment comes out at 1.01 μB/f.u.

***

3.
This record from Alexandria describes AcRh2O4 after structural relaxation. The functional is PBE.

Unit cell a=8.3493 b=7.5721 c=5.8831 alpha=75.55 beta=61.43 gamma=43.03
Fractional coordinates of all 14 atoms:
Ac 0.0000 0.0000 0.0000
Ac 0.2500 0.2500 0.2500
Rh 0.1342 0.6158 0.6247
Rh 0.6158 0.1342 0.6253
Rh 0.6247 0.6253 0.1342
Rh 0.6253 0.6247 0.6158
O 0.2873 0.4905 0.8719
O 0.3503 0.8719 0.4905
O 0.4015 0.8704 0.9525
O 0.4905 0.2873 0.3503
O 0.7756 0.9525 0.8704
O 0.8704 0.4015 0.7756
O 0.8719 0.3503 0.2873
O 0.9525 0.7756 0.4015

Summary:
The space-group type is No. 22. Its raw formation energy is -1.409 eV/atom. For the volume, the calculation gives 219.7 Å³/cell. The total magnetic moment comes out at 3.04 μB/f.u.

***

Q: Look up the volume of the third one.
A: 219.7 Å³/cell

***

Q: Which formula does entry 1 have?
A: Ac2YReO8